GGA-PBE TeWCl, relaxed; M_tot = 0.00 μB per cell; calculated volume = 59.79 Å³ per cell; offset from the most stable computed form = 943 meV per atom; E_form (uncorrected) = 0.678 eV per atom
1.0
-0.137 2.103 -4.232
-3.200 -3.300 1.104
-1.858 2.186 1.146
Cl Te W
1 1 1
Direct
0.000 0.000 0.846
0.667 0.333 0.468
0.333 0.667 0.686